This record from the Alexandria database describes an optimized crystal structure of NdGdSi. The functional is GGA-PBE.

## Properties
Polymorph energy (0 for the lowest one) ... 0.31 eV/f.u.
Total energy ... -25.33 eV/f.u.
Formation energy from raw total energies ... -352 meV per atom
Mass density ... 7.19 g/cm³
SG ... I4mm

The structure in POSCAR format:
```
NdGdSi
1.0
-1.961 1.961 4.951
1.961 -1.961 4.951
1.961 1.961 -4.951
Nd Gd Si
1 1 1
Direct
0.000 0.000 0.000 Nd
0.706 0.706 0.000 Gd
0.345 0.345 0.000 Si
```

---

This record from the Alexandria database describes an optimized crystal structure of CrGePd3. The functional is GGA-PBE.

## Properties
ΔH_f (0 K) ... 0.820 eV/atom
Polymorph energy (0 for the lowest one) ... 0.00 eV/f.u.
Total energy ... -25.72 eV/f.u.
Mass density ... 7.65 g/cm³
SG ... Pm-3m

The structure in POSCAR format:
```
CrGePd3
1.0
4.584 0.000 0.000
0.000 4.584 0.000
0.000 0.000 4.584
Cr Ge Pd
1 1 3
Direct
0.000 0.000 0.000 Cr
0.500 0.500 0.500 Ge
0.000 0.500 0.500 Pd
0.500 0.000 0.500 Pd
0.500 0.500 0.000 Pd
```

---

This record from the Alexandria database describes an optimized crystal structure of TcTeMo. The functional is GGA-PBE.

## Properties
Polymorph energy (0 for the lowest one) ... 0.37 eV/f.u.
Total energy ... -23.38 eV/f.u.
Formation energy from raw total energies ... 319 meV per atom
Mass density ... 10.14 g/cm³
SG ... I4mm

The structure in POSCAR format:
```
TcTeMo
1.0
-1.556 1.556 5.440
1.556 -1.556 5.440
1.556 1.556 -5.440
Tc Te Mo
1 1 1
Direct
0.000 0.000 0.000 Tc
0.678 0.678 0.000 Te
0.359 0.359 0.000 Mo
```

---

This record from the Alexandria database describes an optimized crystal structure of CsCaS2Cl. The functional is GGA-PBE.

## Properties
Polymorph energy (0 for the lowest one) ... 4.70 eV/f.u.
Total energy ... -13.76 eV/f.u.
Formation energy from raw total energies ... -161 meV per atom
Mass density ... 2.59 g/cm³
SG ... P4/mmm

The structure in POSCAR format:
```
CsCaS2Cl
1.0
5.434 0.000 0.000
0.000 5.434 0.000
0.000 0.000 5.928
Cs Ca S Cl
1 1 2 1
Direct
0.000 0.000 0.000 Cs
0.500 0.500 0.500 Ca
0.000 0.500 0.000 S
0.500 0.000 0.000 S
0.000 0.000 0.500 Cl
```